(1)
CuReRu2: relaxed, GGA-PBE.

Lattice parameters (Å, degrees): 6.0767 6.0767 6.0767 90.00 90.00 90.00
Space group F-43m (No. 216)
Asymmetric unit:
Cu 0.0000 0.0000 0.0000 x4
Re 0.2500 0.2500 0.2500 x4
Ru 0.0000 0.0000 0.5000 x4
Ru 0.2500 0.2500 0.7500 x4

Theoretical density   13.4 g cm⁻³
Raw total energy   -8.270 eV/atom

---

(2)
CeTlAgPt: relaxed, GGA-PBE.

Lattice parameters (Å, degrees): 7.0677 7.0677 7.0677 90.00 90.00 90.00
Space group F-43m (No. 216)
Asymmetric unit:
Ce 0.0000 0.0000 0.0000 x4
Tl 0.0000 0.0000 0.5000 x4
Ag 0.2500 0.2500 0.2500 x4
Pt 0.2500 0.2500 0.7500 x4

Theoretical density   12.2 g cm⁻³
Raw total energy   -4.702 eV/atom

---

(3)
LiCd2TcIr: relaxed, GGA-PBE.

Lattice parameters (Å, degrees): 4.4409 4.4409 4.2932 90.00 90.00 90.00
Space group P4/mmm (No. 123)
Asymmetric unit:
Li 0.0000 0.0000 0.0000 x1
Cd 0.0000 0.5000 0.0000 x2
Tc 0.5000 0.5000 0.5000 x1
Ir 0.0000 0.0000 0.5000 x1

Theoretical density   10.2 g cm⁻³
Raw total energy   -3.710 eV/atom

---

(4)
BaTc2SnSb: relaxed, GGA-PBE.

Lattice parameters (Å, degrees): 5.1718 5.1718 6.2729 90.00 90.00 90.00
Space group P4/mmm (No. 123)
Asymmetric unit:
Ba 0.0000 0.0000 0.0000 x1
Tc 0.0000 0.5000 0.0000 x2
Sn 0.5000 0.5000 0.5000 x1
Sb 0.0000 0.0000 0.5000 x1

Theoretical density   5.7 g cm⁻³
Raw total energy   -3.935 eV/atom
Formation energy (no corrections)   11.11 eV/f.u.